[1]
Cs12Cl3F5 GGA-PBE relaxed; crystal system = cubic; space-group type = Ia-3d (230); formation energy (no corrections) = -171.7 kJ/mol of atoms
1.0
-9.850 9.850 9.850
9.850 -9.850 9.850
9.850 9.850 -9.850
Cs Cl F
48 12 20
direct
0.016 0.198 0.124
0.016 0.318 0.892
0.074 0.698 0.682
0.074 0.876 0.392
0.108 0.624 0.426
0.108 0.984 0.682
0.124 0.016 0.198
0.124 0.608 0.926
0.182 0.198 0.574
0.182 0.484 0.608
0.198 0.124 0.016
0.198 0.574 0.182
0.302 0.318 0.926
0.302 0.484 0.376
0.318 0.892 0.016
0.318 0.926 0.302
0.376 0.302 0.484
0.376 0.574 0.892
0.392 0.074 0.876
0.392 0.818 0.516
0.426 0.108 0.624
0.426 0.818 0.802
0.484 0.376 0.302
0.484 0.608 0.182
0.516 0.392 0.818
0.516 0.624 0.698
0.574 0.182 0.198
0.574 0.892 0.376
0.608 0.182 0.484
0.608 0.926 0.124
0.624 0.426 0.108
0.624 0.698 0.516
0.682 0.074 0.698
0.682 0.108 0.984
0.698 0.516 0.624
0.698 0.682 0.074
0.802 0.426 0.818
0.802 0.876 0.984
0.818 0.516 0.392
0.818 0.802 0.426
0.876 0.392 0.074
0.876 0.984 0.802
0.892 0.016 0.318
0.892 0.376 0.574
0.926 0.124 0.608
0.926 0.302 0.318
0.984 0.682 0.108
0.984 0.802 0.876
0.125 0.250 0.375
0.125 0.375 0.750
0.250 0.375 0.125
0.250 0.875 0.625
0.375 0.125 0.250
0.375 0.750 0.125
0.625 0.250 0.875
0.625 0.875 0.750
0.750 0.125 0.375
0.750 0.625 0.875
0.875 0.625 0.250
0.875 0.750 0.625
0.000 0.000 0.000
0.000 0.000 0.500
0.000 0.500 0.000
0.000 0.500 0.500
0.125 0.750 0.875
0.125 0.875 0.250
0.250 0.125 0.875
0.250 0.625 0.375
0.375 0.250 0.625
0.375 0.625 0.750
0.500 0.000 0.000
0.500 0.000 0.500
0.500 0.500 0.000
0.500 0.500 0.500
0.625 0.375 0.250
0.625 0.750 0.375
0.750 0.375 0.625
0.750 0.875 0.125
0.875 0.125 0.750
0.875 0.250 0.125

=====

[2]
Y4SbPb2 GGA-PBE relaxed; crystal system = monoclinic; space-group type = P2_1/m (11); formation energy (no corrections) = -52.5 kJ/mol of atoms
1.0
6.203 0.000 0.000
0.000 6.594 0.000
-1.686 0.000 10.193
Y Sb Pb
8 2 4
direct
0.028 0.250 0.158
0.135 0.750 0.448
0.431 0.006 0.732
0.431 0.494 0.732
0.569 0.506 0.268
0.569 0.994 0.268
0.865 0.250 0.552
0.972 0.750 0.842
0.053 0.750 0.157
0.947 0.250 0.843
0.311 0.250 0.457
0.487 0.250 0.006
0.513 0.750 0.994
0.689 0.750 0.543

=====

[3]
LiSe3N GGA-PBE relaxed; crystal system = cubic; space-group type = Pm-3m (221); polymorph energy (0 for the lowest one) = 0.0 meV/atom; formation energy (no corrections) = 49.3 kJ/mol of atoms
1.0
4.440 0.000 0.000
0.000 4.440 0.000
0.000 0.000 4.440
Li Se N
1 3 1
direct
0.000 0.000 0.000
0.000 0.500 0.500
0.500 0.000 0.500
0.500 0.500 0.000
0.500 0.500 0.500

=====

[4]
La5Zn2Ru2 GGA-PBE relaxed; crystal system = monoclinic; space-group type = Cm (8); raw total energy = -5.317 eV per atom
1.0
5.458 -8.417 0.000
5.458 8.417 0.000
-3.753 0.000 5.384
La Zn Ru
10 4 4
direct
0.000 0.000 0.000
0.018 0.359 0.450
0.339 0.339 0.915
0.340 0.950 0.903
0.359 0.018 0.450
0.429 0.637 0.576
0.637 0.429 0.576
0.704 0.921 0.345
0.921 0.704 0.345
0.950 0.340 0.903
0.039 0.687 0.916
0.300 0.655 0.035
0.655 0.300 0.035
0.687 0.039 0.916
0.060 0.060 0.536
0.174 0.670 0.337
0.291 0.291 0.384
0.670 0.174 0.337

=====

[5]
MgMn2Au9 GGA-PBE relaxed; crystal system = tetragonal; space-group type = P4/mmm (123); raw total energy = -4.259 eV per atom
1.0
4.140 0.000 0.000
0.000 4.140 0.000
0.000 0.000 12.327
Mg Mn Au
1 2 9
direct
0.000 0.000 0.000
0.000 0.000 0.335
0.000 0.000 0.665
0.000 0.500 0.169
0.000 0.500 0.500
0.000 0.500 0.831
0.500 0.000 0.169
0.500 0.000 0.500
0.500 0.000 0.831
0.500 0.500 0.000
0.500 0.500 0.335
0.500 0.500 0.665

=====

[6]
Tl2AsAu2 GGA-PBE relaxed; crystal system = tetragonal; space-group type = I4/mmm (139); polymorph energy (0 for the lowest one) = 146.5 meV/atom
1.0
-1.920 1.920 8.431
1.920 -1.920 8.431
1.920 1.920 -8.431
Tl As Au
2 1 2
direct
0.099 0.099 0.000
0.901 0.901 0.000
0.500 0.500 0.000
0.250 0.750 0.500
0.750 0.250 0.500

=====

[7]
TlSiSb3 GGA-PBE relaxed; crystal system = cubic; space-group type = Pm-3m (221); polymorph energy (0 for the lowest one) = 0.0 meV/atom; formation energy (no corrections) = 44.1 kJ/mol of atoms
1.0
5.326 0.000 0.000
0.000 5.326 0.000
0.000 0.000 5.326
Tl Si Sb
1 1 3
direct
0.000 0.000 0.000
0.500 0.500 0.500
0.000 0.500 0.500
0.500 0.000 0.500
0.500 0.500 0.000

=====

[8]
DyHfCd2 GGA-PBE relaxed; crystal system = tetragonal; space-group type = P4/mmm (123); polymorph energy (0 for the lowest one) = 0.0 meV/atom
1.0
3.594 0.000 0.000
0.000 3.594 0.000
0.000 0.000 7.283
Dy Hf Cd
1 1 2
direct
0.000 0.000 0.000
0.000 0.000 0.500
0.500 0.500 0.271
0.500 0.500 0.729

=====

[9]
Tb3Co3Si GGA-PBE relaxed; crystal system = monoclinic; space-group type = C2/m (12); formation energy (no corrections) = -37.9 kJ/mol of atoms
1.0
5.138 -2.022 0.000
5.138 2.022 0.000
-4.852 0.000 12.781
Tb Co Si
6 6 2
direct
0.028 0.028 0.383
0.108 0.108 0.924
0.248 0.248 0.225
0.752 0.752 0.775
0.892 0.892 0.076
0.972 0.972 0.617
0.323 0.323 0.465
0.404 0.404 0.923
0.450 0.450 0.770
0.550 0.550 0.230
0.596 0.596 0.077
0.677 0.677 0.535
0.259 0.259 0.611
0.741 0.741 0.389

=====

[10]
InRe2W GGA-PBE relaxed; crystal system = tetragonal; space-group type = P4mm (99); raw total energy = -9.833 eV per atom
1.0
2.879 0.000 0.000
0.000 2.879 0.000
0.000 0.000 8.055
In Re W
1 2 1
direct
0.000 0.000 0.000
0.000 0.000 0.482
0.500 0.500 0.269
0.500 0.500 0.720

=====

[11]
La6Dy2Y5 GGA-PBE relaxed; crystal system = orthorhombic; space-group type = Pbam (55); raw total energy = -5.359 eV per atom
1.0
11.806 0.000 0.000
0.000 21.008 0.000
0.000 0.000 3.666
La Dy Y
12 4 10
direct
0.062 0.079 0.000
0.080 0.366 0.000
0.172 0.635 0.500
0.328 0.135 0.500
0.420 0.866 0.000
0.438 0.579 0.000
0.562 0.421 0.000
0.580 0.134 0.000
0.672 0.865 0.500
0.828 0.365 0.500
0.920 0.634 0.000
0.938 0.921 0.000
0.165 0.790 0.000
0.335 0.290 0.000
0.665 0.710 0.000
0.835 0.210 0.000
0.000 0.500 0.500
0.094 0.226 0.500
0.199 0.941 0.500
0.301 0.441 0.500
0.406 0.726 0.500
0.500 0.000 0.500
0.594 0.274 0.500
0.699 0.559 0.500
0.801 0.059 0.500
0.906 0.774 0.500

=====

[12]
LiTbPrSe3 GGA-PBE relaxed; crystal system = monoclinic; space-group type = P2_1/m (11); formation energy (no corrections) = -162.1 kJ/mol of atoms
1.0
8.517 0.000 0.000
0.000 4.046 0.000
-1.996 0.000 8.664
Li Tb Pr Se
2 2 2 6
direct
0.086 0.250 0.085
0.914 0.750 0.915
0.334 0.750 0.338
0.666 0.250 0.662
0.189 0.250 0.726
0.811 0.750 0.274
0.096 0.250 0.370
0.220 0.750 0.001
0.432 0.750 0.674
0.568 0.250 0.326
0.780 0.250 0.999
0.904 0.750 0.630

=====

[13]
In12Ga2Sn GGA-PBE relaxed; crystal system = tetragonal; space-group type = P4/nbm (125); raw total energy = -2.739 eV per atom
1.0
6.394 0.000 0.000
0.000 6.394 0.000
0.000 0.000 21.455
In Ga Sn
24 4 2
direct
0.000 0.000 0.104
0.000 0.000 0.896
0.000 0.500 0.104
0.000 0.500 0.896
0.075 0.575 0.436
0.075 0.925 0.564
0.250 0.250 0.207
0.250 0.250 0.342
0.250 0.250 0.658
0.250 0.250 0.793
0.425 0.575 0.564
0.425 0.925 0.436
0.500 0.000 0.104
0.500 0.000 0.896
0.500 0.500 0.104
0.500 0.500 0.896
0.575 0.075 0.564
0.575 0.425 0.436
0.750 0.750 0.207
0.750 0.750 0.342
0.750 0.750 0.658
0.750 0.750 0.793
0.925 0.075 0.436
0.925 0.425 0.564
0.250 0.750 0.220
0.250 0.750 0.780
0.750 0.250 0.220
0.750 0.250 0.780
0.250 0.750 0.000
0.750 0.250 0.000

=====

[14]
Nb3BiW GGA-PBE relaxed; crystal system = cubic; space-group type = Pm-3m (221); polymorph energy (0 for the lowest one) = 0.0 meV/atom
1.0
4.935 0.000 0.000
0.000 4.935 0.000
0.000 0.000 4.935
Nb Bi W
3 1 1
direct
0.000 0.000 0.500
0.000 0.500 0.000
0.500 0.000 0.000
0.500 0.500 0.500
0.000 0.000 0.000

=====

[15]
Pm3PrGa GGA-PBE relaxed; crystal system = triclinic; space-group type = P-1 (2); polymorph energy (0 for the lowest one) = 0.0 meV/atom
1.0
3.774 0.000 0.000
0.005 8.674 0.000
1.879 2.281 9.488
Pm Pr Ga
6 2 2
direct
0.002 0.196 0.001
0.185 0.884 0.631
0.197 0.315 0.606
0.803 0.685 0.394
0.815 0.116 0.369
0.998 0.804 0.999
0.405 0.458 0.187
0.595 0.542 0.813
0.396 0.933 0.207
0.604 0.067 0.793

=====

[16]
InCoAg2 GGA-PBE relaxed; crystal system = tetragonal; space-group type = I-42d (122); raw total energy = -3.475 eV per atom
1.0
-1.922 1.922 9.969
1.922 -1.922 9.969
1.922 1.922 -9.969
In Co Ag
2 2 4
direct
0.000 0.000 0.000
0.750 0.250 0.500
0.250 0.750 0.500
0.500 0.500 0.000
0.132 0.625 0.007
0.375 0.382 0.507
0.618 0.125 0.993
0.875 0.868 0.493

=====

[17]
Y7C6 GGA-PBE relaxed; crystal system = trigonal; space-group type = R-3m (166); raw total energy = -7.014 eV per atom
1.0
3.280 1.894 9.590
-3.280 1.894 9.590
0.000 -3.787 9.590
Y C
7 6
direct
0.000 0.000 0.000
0.059 0.059 0.552
0.059 0.552 0.059
0.448 0.941 0.941
0.552 0.059 0.059
0.941 0.448 0.941
0.941 0.941 0.448
0.167 0.167 0.167
0.281 0.281 0.281
0.325 0.325 0.325
0.675 0.675 0.675
0.719 0.719 0.719
0.833 0.833 0.833

=====

[18]
CaY2ScPt GGA-PBE relaxed; crystal system = tetragonal; space-group type = P4/mmm (123); raw total energy = -5.834 eV per atom
1.0
5.546 0.000 0.000
0.000 5.546 0.000
0.000 0.000 5.197
Ca Y Sc Pt
1 2 1 1
direct
0.000 0.000 0.000
0.000 0.500 0.500
0.500 0.000 0.500
0.500 0.500 0.000
0.500 0.500 0.500